1.
A plane-wave DFT calculation with PBE was carried out for MnNiP after structural relaxation.

**Space group**: No. 62
**DFT total energy**: -0.26969 hartree per atom
**Theoretical density**: 7.03 g/cm3

abc: 3.4428 5.8691 6.7584
angles: 90.00 90.00 90.00
With the nearest neighbours (Å) after each atom.
Fractional positions:
Ni 0.2500 0.6393 0.4347  4 P 2.18-2.27
Ni 0.2500 0.1393 0.0653  4 P 2.18-2.27
Ni 0.7500 0.8607 0.9347  4 P 2.18-2.27
Ni 0.7500 0.3607 0.5653  4 P 2.18-2.27
Mn 0.7500 0.4680 0.1593  5 P 2.36-2.55
Mn 0.2500 0.0320 0.6593  5 P 2.36-2.55
Mn 0.7500 0.9680 0.3407  5 P 2.36-2.55
Mn 0.2500 0.5320 0.8407  5 P 2.36-2.55
P 0.2500 0.7598 0.1292  4 Ni 2.18-2.27, 3 Mn 2.36-2.44
P 0.2500 0.2598 0.3708  4 Ni 2.18-2.27, 3 Mn 2.36-2.44
P 0.7500 0.2402 0.8708  4 Ni 2.18-2.27, 3 Mn 2.36-2.44
P 0.7500 0.7402 0.6292  4 Ni 2.18-2.27, 3 Mn 2.36-2.44



2.
A plane-wave DFT calculation with PBE was carried out for MnNiP4 after structural relaxation.

**Space group**: No. 65
**DFT total energy**: -0.22889 hartree per atom
**Theoretical density**: 4.87 g/cm3

abc: 5.4689 5.6614 6.5540
angles: 115.60 114.74 89.97
With the nearest neighbours (Å) after each atom.
Fractional positions:
Mn 0.0000 0.0000 0.5000  8 P 2.35
Mn 0.5000 0.5000 0.5000  8 P 2.35
Ni 0.7500 0.2500 0.0000  8 P 2.38
Ni 0.2500 0.7500 0.0000  8 P 2.38
P 0.8725 0.3723 0.7445  2 Mn 2.35, 2 Ni 2.38, 1 P 2.56
P 0.6276 0.6279 0.2557  2 Mn 2.35, 2 Ni 2.38, 1 P 2.56
P 0.1275 0.6277 0.2555  2 Mn 2.35, 2 Ni 2.38, 1 P 2.56
P 0.3724 0.3721 0.7443  2 Mn 2.35, 2 Ni 2.38, 1 P 2.56
P 0.8723 0.8721 0.7443  2 Mn 2.35, 2 Ni 2.38, 1 P 2.56
P 0.6276 0.1277 0.2555  2 Mn 2.35, 2 Ni 2.38, 1 P 2.56
P 0.1277 0.1279 0.2557  2 Mn 2.35, 2 Ni 2.38, 1 P 2.56
P 0.3724 0.8723 0.7445  2 Mn 2.35, 2 Ni 2.38, 1 P 2.56



3.
A plane-wave DFT calculation with PBE was carried out for MnNiP after structural relaxation.

**Space group**: No. 156
**DFT total energy**: -0.25166 hartree per atom
**Theoretical density**: 7.11 g/cm3

abc: 2.6653 2.6653 5.4931
angles: 90.00 90.00 120.00
With the nearest neighbours (Å) after each atom.
Fractional positions:
Mn 0.0000 0.0000 0.9768  3 P 2.27
Ni 0.6667 0.3333 0.3497  3 P 2.35, 3 Mn 2.56
P 0.3333 0.6667 0.6735  3 Mn 2.27, 3 Ni 2.35



4.
A plane-wave DFT calculation with PBE was carried out for MnNiP after structural relaxation.

**Space group**: No. 11
**DFT total energy**: -0.26934 hartree per atom
**Theoretical density**: 7.00 g/cm3

abc: 3.4140 5.9149 10.1962
angles: 89.95 90.00 90.00
With the nearest neighbours (Å) after each atom.
Fractional positions:
Mn 0.7500 0.5306 0.3939  5 P 2.39-2.57, 2 Ni 2.66
Mn 0.2500 0.9526 0.7160  5 P 2.34-2.51
Mn 0.7500 0.0474 0.2840  5 P 2.34-2.51
Mn 0.7500 0.6364 0.0752  5 P 2.31-2.54
Mn 0.2500 0.4694 0.6061  5 P 2.39-2.57, 2 Ni 2.66
Mn 0.2500 0.3636 0.9248  5 P 2.31-2.54
Ni 0.2500 0.9867 0.0889  4 P 2.19-2.29
Ni 0.2500 0.8600 0.4544  4 P 2.20-2.30
Ni 0.7500 0.6213 0.7907  4 P 2.18-2.27
Ni 0.7500 0.1400 0.5456  4 P 2.20-2.30
Ni 0.2500 0.3787 0.2093  4 P 2.18-2.27
Ni 0.7500 0.0133 0.9111  4 P 2.19-2.29
P 0.2500 0.7546 0.9149  5 Ni 2.24-2.29, 4 Mn 2.31-2.46
P 0.7500 0.2590 0.7502  3 Ni 2.18-2.20
P 0.7500 0.7583 0.5873  4 Ni 2.23-2.30, 5 Mn 2.39-2.44
P 0.7500 0.2454 0.0851  5 Ni 2.24-2.29, 4 Mn 2.31-2.46
P 0.2500 0.2417 0.4127  4 Ni 2.23-2.30, 5 Mn 2.39-2.44
P 0.2500 0.7410 0.2498  3 Ni 2.18-2.20



5.
A plane-wave DFT calculation with PBE was carried out for MnNi2P2 after structural relaxation.

**Space group**: No. 127
**DFT total energy**: -0.24116 hartree per atom
**Theoretical density**: 6.70 g/cm3

abc: 6.0363 6.0363 3.1850
angles: 90.00 90.00 90.00
With the nearest neighbours (Å) after each atom.
Fractional positions:
Ni 0.1460 0.6460 0.5000  6 P 2.35-2.40, 1 Ni 2.49
Ni 0.6460 0.8540 0.5000  6 P 2.35-2.40, 1 Ni 2.49
Ni 0.8540 0.3540 0.5000  6 P 2.35-2.40, 1 Ni 2.49
Ni 0.3540 0.1460 0.5000  6 P 2.35-2.40, 1 Ni 2.49
Mn 0.0000 0.0000 0.0000  4 P 2.29
Mn 0.5000 0.5000 0.0000  4 P 2.29
P 0.3478 0.8478 0.0000  2 Mn 2.29, 6 Ni 2.35-2.40
P 0.8478 0.6522 0.0000  2 Mn 2.29, 6 Ni 2.35-2.40
P 0.6522 0.1522 0.0000  2 Mn 2.29, 6 Ni 2.35-2.40
P 0.1522 0.3478 0.0000  2 Mn 2.29, 6 Ni 2.35-2.40



6.
A plane-wave DFT calculation with PBE was carried out for MnNiP after structural relaxation.

**Space group**: No. 62
**DFT total energy**: -0.26528 hartree per atom
**Theoretical density**: 6.91 g/cm3

abc: 3.4239 5.9783 6.7870
angles: 90.00 90.00 90.00
With the nearest neighbours (Å) after each atom.
Fractional positions:
Ni 0.2500 0.9695 0.8432  3 P 2.33-2.40
Ni 0.7500 0.5305 0.3432  3 P 2.33-2.40
Ni 0.7500 0.0305 0.1568  3 P 2.33-2.40
Ni 0.2500 0.4695 0.6568  3 P 2.33-2.40
Mn 0.2500 0.8655 0.4344  4 P 2.19-2.35
Mn 0.7500 0.6345 0.9344  4 P 2.19-2.35
Mn 0.7500 0.1345 0.5656  4 P 2.19-2.35
Mn 0.2500 0.3655 0.0656  4 P 2.19-2.35
P 0.2500 0.2519 0.3724  4 Mn 2.19-2.35, 3 Ni 2.33-2.40
P 0.7500 0.2481 0.8724  4 Mn 2.19-2.35, 3 Ni 2.33-2.40
P 0.7500 0.7481 0.6276  4 Mn 2.19-2.35, 3 Ni 2.33-2.40
P 0.2500 0.7519 0.1276  4 Mn 2.19-2.35, 3 Ni 2.33-2.40



no.,DOS(E_F) (states/eV per cell)
1,4.9
2,5.8
3,2.6
4,8.4
5,6.0
6,10.0